## Cs2HfZnCl6 (PBE-GGA)

Data for a relaxed structure of Cs2HfZnCl6.

POSCAR file:
```
Cs2HfZnCl6
1.0
0.000 5.734 5.734
5.734 0.000 5.734
5.734 5.734 0.000
Cs Hf Zn Cl
2 1 1 6
Direct
0.250 0.250 0.250
0.750 0.750 0.750
0.000 0.000 0.000
0.500 0.500 0.500
0.215 0.215 0.785
0.215 0.785 0.215
0.215 0.785 0.785
0.785 0.215 0.215
0.785 0.215 0.785
0.785 0.785 0.215
```

Properties
ΔE_f (raw): -1.673 eV per atom
SG: Fm-3m, No. 225
Fermi-level density of states: 0.000 states/eV per atom